First-principles (PBE) data for crystalline Rb2Hg16I at its relaxed geometry, as listed in the Alexandria database.

Output
final energy: -0.045 Ry/atom
DOS at the Fermi energy: 4.7 states/eV per cell
mass density: 9.26 g cm⁻³
formation energy (no corrections): -168 meV/atom

The structure in POSCAR format:
```
Rb2Hg16I
1.0
8.554 -0.109 0.843
0.754 8.521 0.843
-0.120 -0.109 8.594
Hg I Rb
16 1 2
direct
0.711 0.315 0.994
0.182 0.637 0.637
0.840 0.351 0.351
0.315 0.994 0.711
0.034 0.034 0.486
0.351 0.351 0.840
0.637 0.182 0.637
0.637 0.637 0.182
0.351 0.840 0.351
0.486 0.034 0.034
0.034 0.486 0.034
0.994 0.315 0.711
0.080 0.080 0.080
0.315 0.711 0.994
0.711 0.994 0.315
0.994 0.711 0.315
0.857 0.857 0.857
0.641 0.641 0.641
0.330 0.330 0.330
```


First-principles (PBE) data for crystalline Rb3HgI at its relaxed geometry, as listed in the Alexandria database.

Output
final energy: -0.107 Ry/atom
DOS at the Fermi energy: 2.7 states/eV per cell
mass density: 2.66 g cm⁻³
formation energy (no corrections): -506 meV/atom

The structure in POSCAR format:
```
Rb3HgI
1.0
-6.223 -0.820 -3.405
1.894 -6.628 -1.865
-2.946 -2.528 5.994
I Rb Hg
1 3 1
direct
0.000 0.000 0.000
0.000 0.000 0.500
0.000 0.500 0.000
0.500 0.000 0.000
0.500 0.500 0.500
```


First-principles (PBE) data for crystalline Rb2Hg15I2 at its relaxed geometry, as listed in the Alexandria database.

Output
final energy: -0.053 Ry/atom
DOS at the Fermi energy: 2.9 states/eV per cell
mass density: 8.44 g cm⁻³
formation energy (no corrections): -211 meV/atom

The structure in POSCAR format:
```
Rb2Hg15I2
1.0
8.785 -0.289 -0.258
0.853 8.749 -0.258
0.853 0.748 8.720
I Rb Hg
2 2 15
direct
0.128 0.128 0.128
0.872 0.872 0.872
0.655 0.655 0.655
0.345 0.345 0.345
0.351 0.351 0.832
0.351 0.832 0.351
0.000 0.000 0.500
0.708 0.292 0.000
0.832 0.351 0.351
0.168 0.649 0.649
0.292 0.000 0.708
0.000 0.708 0.292
0.500 0.000 0.000
0.649 0.168 0.649
0.292 0.708 0.000
0.708 0.000 0.292
0.649 0.649 0.168
0.000 0.292 0.708
0.000 0.500 0.000
```


First-principles (PBE) data for crystalline RbHg2I5 at its relaxed geometry, as listed in the Alexandria database.

Output
final energy: -0.126 Ry/atom
DOS at the Fermi energy: 0.0 states/eV per cell
mass density: 3.98 g cm⁻³
formation energy (no corrections): -546 meV/atom

The structure in POSCAR format:
```
RbHg2I5
1.0
-1.490 1.390 -6.904
7.924 -6.844 0.665
-8.618 -9.991 -0.152
I Rb Hg
10 2 4
direct
0.695 0.390 0.250
0.928 0.855 0.417
0.713 0.426 0.905
0.305 0.610 0.750
0.287 0.574 0.405
0.928 0.855 0.083
0.713 0.426 0.595
0.072 0.145 0.917
0.287 0.574 0.095
0.072 0.145 0.583
0.881 0.763 0.750
0.119 0.237 0.250
0.209 0.419 0.919
0.791 0.581 0.419
0.791 0.581 0.081
0.209 0.419 0.581
```


First-principles (PBE) data for crystalline RbHg2I2 at its relaxed geometry, as listed in the Alexandria database.

Output
final energy: -0.111 Ry/atom
DOS at the Fermi energy: 2.0 states/eV per cell
mass density: 5.96 g cm⁻³
formation energy (no corrections): -579 meV/atom

The structure in POSCAR format:
```
RbHg2I2
1.0
6.310 0.000 0.000
0.000 6.310 0.000
3.155 3.155 5.183
Rb Hg I
1 2 2
direct
0.000 0.000 0.000
0.363 0.363 0.273
0.637 0.637 0.727
0.250 0.750 0.500
0.750 0.250 0.500
```


First-principles (PBE) data for crystalline Rb3HgI3 at its relaxed geometry, as listed in the Alexandria database.

Output
final energy: -0.173 Ry/atom
DOS at the Fermi energy: 0.0 states/eV per cell
mass density: 3.54 g cm⁻³
formation energy (no corrections): -1235 meV/atom

The structure in POSCAR format:
```
Rb3HgI3
1.0
9.049 -0.155 3.745
2.446 8.714 3.745
-0.208 -0.155 9.791
Hg Rb I
2 6 6
direct
0.666 0.666 0.666
0.334 0.334 0.334
0.081 0.750 0.419
0.250 0.581 0.919
0.581 0.919 0.250
0.919 0.250 0.581
0.419 0.081 0.750
0.750 0.419 0.081
0.414 0.752 0.086
0.248 0.914 0.586
0.586 0.248 0.914
0.914 0.586 0.248
0.086 0.414 0.752
0.752 0.086 0.414
```